--- w ---
VASP calculation (PBE-GGA) on a geometry-optimized MnZn2Cl structure.

Cell lengths 3.008, 3.107, 7.912 Å; angles 90.00, 90.00, 90.00 degrees
Space group Pmm2 (No. 25)
Symmetry-distinct sites (fractional):
Mn 0.000 0.000 0.000
Zn 0.000 0.000 0.584
Zn 0.500 0.500 0.778
Cl 0.500 0.500 0.185

## Properties
Total magnetic moment = 1.011 μB per atom

--- x ---
VASP calculation (PBE-GGA) on a geometry-optimized MnZn2Cl structure.

Cell lengths 3.034, 3.034, 7.205 Å; angles 90.00, 90.00, 90.00 degrees
Space group P4/mmm (No. 123)
Symmetry-distinct sites (fractional):
Mn 0.000 0.000 0.000
Zn 0.500 0.500 0.220
Cl 0.000 0.000 0.500

## Properties
Total magnetic moment = 0.777 μB per atom

--- y ---
VASP calculation (PBE-GGA) on a geometry-optimized MnZn2Cl structure.

Cell lengths 8.775, 3.113, 6.237 Å; angles 90.00, 93.89, 90.00 degrees
Space group Cm (No. 8)
Symmetry-distinct sites (fractional):
Mn 0.000 0.000 0.000
Zn 0.053 0.500 0.686
Zn 0.277 0.000 0.835
Cl 0.052 0.500 0.294

## Properties
Total magnetic moment = 0.882 μB per atom

Energy ordering: y at the bottom, the next structure 4.2 kJ/mol of atoms above.

--- w ---
VASP calculation (PBE-GGA) on a geometry-optimized Mn2ZnCl structure.

Cell lengths 6.422, 6.422, 6.422 Å; angles 90.00, 90.00, 90.00 degrees
Space group F-43m (No. 216)
Symmetry-distinct sites (fractional):
Mn 0.000 0.000 0.000
Mn 0.250 0.250 0.250
Zn 0.250 0.250 0.750
Cl 0.000 0.000 0.500

## Properties
Total magnetic moment = 0.095 μB per atom

--- x ---
VASP calculation (PBE-GGA) on a geometry-optimized Mn2ZnCl structure.

Cell lengths 2.995, 4.314, 5.286 Å; angles 90.00, 90.00, 90.00 degrees
Space group Pmmm (No. 47)
Symmetry-distinct sites (fractional):
Mn 0.000 0.000 0.000
Mn 0.500 0.000 0.500
Zn 0.000 0.500 0.500
Cl 0.500 0.500 0.000

## Properties
Total magnetic moment = 1.947 μB per atom

Energy ordering: x at the bottom, the next structure 24.0 kJ/mol of atoms above.

--- w ---
VASP calculation (PBE-GGA) on a geometry-optimized Mn2ZnCl structure.

Cell lengths 5.738, 7.609, 2.967 Å; angles 90.00, 90.00, 90.00 degrees
Space group Cmmm (No. 65)
Symmetry-distinct sites (fractional):
Mn 0.250 0.250 0.000
Zn 0.000 0.000 0.500
Cl 0.000 0.500 0.500

## Properties
Total magnetic moment = 1.982 μB per atom

--- x ---
VASP calculation (PBE-GGA) on a geometry-optimized Mn2ZnCl structure.

Cell lengths 3.067, 3.294, 6.755 Å; angles 90.00, 90.00, 90.00 degrees
Space group Pmmm (No. 47)
Symmetry-distinct sites (fractional):
Mn 0.000 0.000 0.204
Zn 0.500 0.500 0.000
Cl 0.500 0.000 0.500

## Properties
Total magnetic moment = 1.844 μB per atom

Energy ordering: x at the bottom, the next structure 25.3 kJ/mol of atoms above.

--- w ---
VASP calculation (PBE-GGA) on a geometry-optimized Mn2ZnCl structure.

Cell lengths 3.011, 4.651, 4.790 Å; angles 90.00, 90.00, 90.00 degrees
Space group Pmm2 (No. 25)
Symmetry-distinct sites (fractional):
Mn 0.000 0.000 0.000
Mn 0.000 0.500 0.398
Zn 0.500 0.500 0.935
Cl 0.000 0.000 0.499

## Properties
Total magnetic moment = 1.861 μB per atom

--- x ---
VASP calculation (PBE-GGA) on a geometry-optimized Mn2ZnCl structure.

Cell lengths 3.049, 3.049, 7.812 Å; angles 90.00, 90.00, 90.00 degrees
Space group P4mm (No. 99)
Symmetry-distinct sites (fractional):
Mn 0.000 0.000 0.000
Mn 0.500 0.500 0.196
Zn 0.000 0.000 0.378
Cl 0.500 0.500 0.808

## Properties
Total magnetic moment = 0.215 μB per atom

Energy ordering: x at the bottom, the next structure 21.3 kJ/mol of atoms above.

--- w ---
VASP calculation (PBE-GGA) on a geometry-optimized MnZnCl2 structure.

Cell lengths 3.446, 6.073, 10.650 Å; angles 90.00, 90.00, 90.00 degrees
Space group Immm (No. 71)
Symmetry-distinct sites (fractional):
Mn 0.000 0.000 0.000
Zn 0.000 0.000 0.500
Cl 0.000 0.500 0.340

## Properties
Total magnetic moment = 1.250 μB per atom

--- x ---
VASP calculation (PBE-GGA) on a geometry-optimized MnZnCl2 structure.

Cell lengths 3.0109, 3.0109, 29.4140 Å; angles 90.00, 90.00, 120.00 degrees
Space group R-3m (No. 166, hexagonal axes)
Symmetry-distinct sites (fractional):
Mn 0.0000 0.0000 0.0000
Zn 0.0000 0.0000 0.5000
Cl 0.0000 0.0000 0.0711

## Properties
Total magnetic moment = 0.000 μB per atom

Energy ordering: w at the bottom, the next structure 67.4 kJ/mol of atoms above.

--- w ---
VASP calculation (PBE-GGA) on a geometry-optimized MnZnCl2 structure.

Cell lengths 3.6449, 3.6449, 30.7907 Å; angles 90.00, 90.00, 120.00 degrees
Space group R-3m (No. 166, hexagonal axes)
Symmetry-distinct sites (fractional):
Mn 0.0000 0.0000 0.0000
Zn 0.0000 0.0000 0.5000
Cl 0.0000 0.0000 0.2872

## Properties
Total magnetic moment = 1.245 μB per atom

--- x ---
VASP calculation (PBE-GGA) on a geometry-optimized MnZnCl2 structure.

Cell lengths 3.374, 4.001, 5.986 Å; angles 90.00, 90.00, 90.00 degrees
Space group Pmmm (No. 47)
Symmetry-distinct sites (fractional):
Mn 0.000 0.000 0.000
Zn 0.500 0.000 0.500
Cl 0.000 0.500 0.500
Cl 0.500 0.500 0.000

## Properties
Total magnetic moment = 1.021 μB per atom

--- y ---
VASP calculation (PBE-GGA) on a geometry-optimized MnZnCl2 structure.

Cell lengths 6.892, 6.892, 9.228 Å; angles 90.00, 90.00, 90.00 degrees
Space group I-42d (No. 122)
Symmetry-distinct sites (fractional):
Mn 0.000 0.000 0.000
Zn 0.000 0.000 0.500
Cl 0.093 0.250 0.125

## Properties
Total magnetic moment = 0.000 μB per atom

Energy ordering: w at the bottom, the next structure 46.3 kJ/mol of atoms above.

--- w ---
VASP calculation (PBE-GGA) on a geometry-optimized MnZnCl2 structure.

Cell lengths 7.452, 7.442, 3.303 Å; angles 90.00, 90.25, 90.00 degrees
Space group C2/m (No. 12)
Symmetry-distinct sites (fractional):
Mn 0.000 0.000 0.000
Zn 0.000 0.500 0.000
Cl 0.250 0.250 0.000

## Properties
Total magnetic moment = 1.117 μB per atom

--- x ---
VASP calculation (PBE-GGA) on a geometry-optimized MnZnCl2 structure.

Cell lengths 4.388, 3.473, 8.455 Å; angles 90.00, 102.73, 90.00 degrees
Space group P2/m (No. 10)
Symmetry-distinct sites (fractional):
Mn 0.000 0.000 0.000
Zn 0.500 0.000 0.500
Cl 0.148 0.500 0.832

## Properties
Total magnetic moment = 1.251 μB per atom

Energy ordering: x at the bottom, the next structure 28.9 kJ/mol of atoms above.

--- w ---
VASP calculation (PBE-GGA) on a geometry-optimized MnZnCl2 structure.

Cell lengths 3.171, 3.171, 8.305 Å; angles 90.00, 90.00, 90.00 degrees
Space group P4mm (No. 99)
Symmetry-distinct sites (fractional):
Mn 0.000 0.000 0.000
Zn 0.500 0.500 0.234
Cl 0.000 0.000 0.405
Cl 0.500 0.500 0.831

## Properties
Total magnetic moment = 1.078 μB per atom

--- x ---
VASP calculation (PBE-GGA) on a geometry-optimized MnZnCl2 structure.

Cell lengths 5.483, 3.403, 5.774 Å; angles 90.00, 110.31, 90.00 degrees
Space group Pm (No. 6)
Symmetry-distinct sites (fractional):
Mn 0.000 0.000 0.000
Zn 0.255 0.500 0.791
Cl 0.567 0.000 0.699
Cl 0.966 0.500 0.294

## Properties
Total magnetic moment = 1.228 μB per atom

--- y ---
VASP calculation (PBE-GGA) on a geometry-optimized MnZnCl2 structure.

Cell lengths 11.925, 3.332, 7.194 Å; angles 90.00, 127.07, 90.00 degrees
Space group Cm (No. 8)
Symmetry-distinct sites (fractional):
Mn 0.000 0.000 0.000
Zn 0.242 0.500 0.235
Cl 0.420 0.000 0.688
Cl 0.430 0.000 0.170

## Properties
Total magnetic moment = 1.252 μB per atom

--- z ---
VASP calculation (PBE-GGA) on a geometry-optimized MnZnCl2 structure.

Cell lengths 6.894, 6.894, 6.894 Å; angles 90.00, 90.00, 90.00 degrees
Space group F-43m (No. 216)
Symmetry-distinct sites (fractional):
Mn 0.000 0.000 0.000
Zn 0.250 0.250 0.250
Cl 0.000 0.000 0.500
Cl 0.250 0.250 0.750

## Properties
Total magnetic moment = 1.250 μB per atom

Energy ordering: x at the bottom, the next structure 4.1 kJ/mol of atoms above.

--- w ---
VASP calculation (PBE-GGA) on a geometry-optimized MnZnCl2 structure.

Cell lengths 6.813, 6.813, 6.813 Å; angles 90.00, 90.00, 90.00 degrees
Space group Fm-3m (No. 225)
Symmetry-distinct sites (fractional):
Mn 0.000 0.000 0.000
Zn 0.000 0.000 0.500
Cl 0.250 0.250 0.250

## Properties
Total magnetic moment = 1.235 μB per atom

--- x ---
VASP calculation (PBE-GGA) on a geometry-optimized MnZnCl2 structure.

Cell lengths 3.5103, 3.5103, 26.3882 Å; angles 90.00, 90.00, 120.00 degrees
Space group R3m (No. 160, hexagonal axes)
Symmetry-distinct sites (fractional):
Mn 0.0000 0.0000 0.0000
Zn 0.0000 0.0000 0.7421
Cl 0.0000 0.0000 0.2778
Cl 0.0000 0.0000 0.4638

## Properties
Total magnetic moment = 1.223 μB per atom

Energy ordering: x at the bottom, the next structure 48.6 kJ/mol of atoms above.

--- w ---
VASP calculation (PBE-GGA) on a geometry-optimized MnZnCl2 structure.

Cell lengths 6.516, 7.167, 3.344 Å; angles 90.00, 90.00, 90.00 degrees
Space group Cmmm (No. 65)
Symmetry-distinct sites (fractional):
Mn 0.000 0.000 0.000
Zn 0.000 0.500 0.000
Cl 0.250 0.250 0.500

## Properties
Total magnetic moment = 1.138 μB per atom

--- x ---
VASP calculation (PBE-GGA) on a geometry-optimized MnZnCl2 structure.

Cell lengths 3.539, 6.406, 10.196 Å; angles 90.00, 90.00, 90.00 degrees
Space group Cmmm (No. 65)
Symmetry-distinct sites (fractional):
Mn 0.000 0.000 0.000
Zn 0.000 0.000 0.500
Cl 0.000 0.500 0.162

## Properties
Total magnetic moment = 1.232 μB per atom

Energy ordering: x at the bottom, the next structure 40.1 kJ/mol of atoms above.

--- w ---
VASP calculation (PBE-GGA) on a geometry-optimized MnZnCl2 structure.

Cell lengths 3.441, 6.119, 8.996 Å; angles 90.00, 90.00, 90.00 degrees
Space group Cmm2 (No. 35)
Symmetry-distinct sites (fractional):
Mn 0.000 0.000 0.000
Zn 0.000 0.500 0.773
Cl 0.000 0.000 0.597
Cl 0.000 0.500 0.182

## Properties
Total magnetic moment = 1.090 μB per atom

--- x ---
VASP calculation (PBE-GGA) on a geometry-optimized MnZnCl2 structure.

Cell lengths 3.194, 3.194, 9.382 Å; angles 90.00, 90.00, 90.00 degrees
Space group P4/mmm (No. 123)
Symmetry-distinct sites (fractional):
Mn 0.000 0.000 0.000
Zn 0.000 0.000 0.500
Cl 0.500 0.500 0.163

## Properties
Total magnetic moment = 1.213 μB per atom

Energy ordering: w at the bottom, the next structure 9.3 kJ/mol of atoms above.

--- w ---
VASP calculation (PBE-GGA) on a geometry-optimized ZrMnCl2 structure.

Cell lengths 3.453, 3.326, 8.190 Å; angles 90.00, 101.79, 90.00 degrees
Space group Pm (No. 6)
Symmetry-distinct sites (fractional):
Zr 0.000 0.000 0.000
Mn 0.596 0.500 0.199
Cl 0.164 0.000 0.338
Cl 0.882 0.500 0.755

## Properties
Total magnetic moment = 0.799 μB per atom

--- x ---
VASP calculation (PBE-GGA) on a geometry-optimized ZrMnCl2 structure.

Cell lengths 4.311, 4.311, 3.772 Å; angles 90.00, 90.00, 90.00 degrees
Space group P4/mmm (No. 123)
Symmetry-distinct sites (fractional):
Zr 0.000 0.000 0.000
Mn 0.500 0.500 0.000
Cl 0.000 0.500 0.500

## Properties
Total magnetic moment = 0.720 μB per atom

Energy ordering: w at the bottom, the next structure 63.3 kJ/mol of atoms above.

--- w ---
VASP calculation (PBE-GGA) on a geometry-optimized ZrMnCl2 structure.

Cell lengths 6.092, 8.658, 3.282 Å; angles 90.00, 116.42, 90.00 degrees
Space group C2/m (No. 12)
Symmetry-distinct sites (fractional):
Zr 0.000 0.000 0.000
Mn 0.000 0.500 0.000
Cl 0.250 0.250 0.000

## Properties
Total magnetic moment = 0.909 μB per atom

--- x ---
VASP calculation (PBE-GGA) on a geometry-optimized ZrMnCl2 structure.

Cell lengths 4.283, 4.283, 7.865 Å; angles 90.00, 90.00, 90.00 degrees
Space group I4/mmm (No. 139)
Symmetry-distinct sites (fractional):
Zr 0.000 0.000 0.000
Mn 0.000 0.000 0.500
Cl 0.000 0.500 0.250

## Properties
Total magnetic moment = 0.961 μB per atom

Energy ordering: w at the bottom, the next structure 18.0 kJ/mol of atoms above.